Material: SrHoAl4
Method: DFT, PBE
State: optimized geometry

Calculated values
As for the total moment: 0.0000 μB/atom. Its density of states at the Fermi level is 0.63 states/eV/atom. As for the total energy: -3.874 eV/atom. For the mass density, the calculation gives 4.61 g/cm³. The formation energy is -195 kJ/mol of formula units.

Cell: 5.6855 5.6855 5.6855 Å, 60.00 60.00 60.00°
Element x y z (fractional)
1 Sr 0.0000 0.0000 0.0000
2 Ho 0.7500 0.7500 0.7500
3 Al 0.3755 0.3755 0.3755
4 Al 0.3755 0.3755 0.8736
5 Al 0.3755 0.8736 0.3755
6 Al 0.8736 0.3755 0.3755

Material: Li6PdPb
Method: DFT, PBE
State: optimized geometry

Calculated values
As for the total moment: 0.0000 μB/atom. Its density of states at the Fermi level is 0.53 states/eV/atom. As for the total energy: -2.795 eV/atom. For the mass density, the calculation gives 4.31 g/cm³. The formation energy is -191 kJ/mol of formula units.

Cell: 4.7518 5.7626 5.7626 Å, 60.20 90.00 90.00°
Element x y z (fractional)
1 Li 0.0000 0.0000 0.0000
2 Li 0.0000 0.0001 0.4689
3 Li 0.0000 0.4689 0.0001
4 Li 0.5000 0.1653 0.6536
5 Li 0.5000 0.6530 0.6530
6 Li 0.5000 0.6536 0.1653
7 Pd 0.5000 0.1573 0.1573
8 Pb 0.0000 0.4897 0.4897

Q: Which value of density of states at the Fermi level does entry 2 give?
A: 0.53 states/eV/atom

Copy entry 2 word for word.
Material: Li6PdPb
Method: DFT, PBE
State: optimized geometry

Calculated values
As for the total moment: 0.0000 μB/atom. Its density of states at the Fermi level is 0.53 states/eV/atom. As for the total energy: -2.795 eV/atom. For the mass density, the calculation gives 4.31 g/cm³. The formation energy is -191 kJ/mol of formula units.

Cell: 4.7518 5.7626 5.7626 Å, 60.20 90.00 90.00°
Element x y z (fractional)
1 Li 0.0000 0.0000 0.0000
2 Li 0.0000 0.0001 0.4689
3 Li 0.0000 0.4689 0.0001
4 Li 0.5000 0.1653 0.6536
5 Li 0.5000 0.6530 0.6530
6 Li 0.5000 0.6536 0.1653
7 Pd 0.5000 0.1573 0.1573
8 Pb 0.0000 0.4897 0.4897

Q: Which value of density of states at the Fermi level does entry 1 give?
A: 0.63 states/eV/atom

Q: The lowest density of states at the Fermi level belongs to which entry?
A: Li6PdPb